1.
## BaCoBr (PBE)

Data for crystalline BaCoBr at its relaxed geometry.

Calculated volume ... 33.4 Å³ per atom
Electronic total energy ... -3.972 eV/atom
Uncorrected formation energy ... -405 meV/atom
Spin magnetization ... 2.15 Bohr magnetons per cell
Space group ... Pm, No. 6

a = 4.384 Å, b = 9.961 Å, c = 4.698 Å
α = 90.00°, β = 90.00°, γ = 77.35°
Each line ends with the local moment (μB).
Positions (direct):
Co 0.052 0.018 0.934  1.58
Co 0.943 0.238 0.934  1.47
Ba 0.512 0.099 0.434  -0.14
Ba 0.204 0.709 0.934  -0.08
Br 0.385 0.355 0.934  0.01
Br 0.739 0.640 0.434  -0.01



2.
## BaCo2Br (PBE)

Data for crystalline BaCo2Br at its relaxed geometry.

Calculated volume ... 31.2 Å³ per atom
Electronic total energy ... -3.983 eV/atom
Uncorrected formation energy ... 469 meV/atom
Spin magnetization ... 3.09 Bohr magnetons per cell
Space group ... P4/mmm, No. 123

a = 4.427 Å, b = 4.424 Å, c = 6.372 Å
α = 90.00°, β = 90.00°, γ = 90.00°
Each line ends with the local moment (μB).
Positions (direct):
Ba 0.500 0.500 0.250  -0.12
Br 0.500 0.500 0.750  -0.01
Co 0.000 0.000 0.086  1.72
Co 0.000 0.000 0.414  1.72



3.
## BaCoBr (PBE)

Data for crystalline BaCoBr at its relaxed geometry.

Calculated volume ... 26.4 Å³ per atom
Electronic total energy ... -3.404 eV/atom
Uncorrected formation energy ... 163 meV/atom
Spin magnetization ... 0.23 Bohr magnetons per cell
Space group ... F-43m, No. 216

a = 4.821 Å, b = 4.821 Å, c = 4.821 Å
α = 60.00°, β = 60.00°, γ = 60.00°
Each line ends with the local moment (μB).
Positions (direct):
Co 0.500 0.500 0.500  0.38
Ba 0.750 0.750 0.750  -0.05
Br 0.250 0.250 0.250  0.00



4.
## BaCoBr (PBE)

Data for crystalline BaCoBr at its relaxed geometry.

Calculated volume ... 31.1 Å³ per atom
Electronic total energy ... -3.656 eV/atom
Uncorrected formation energy ... -89 meV/atom
Spin magnetization ... 4.01 Bohr magnetons per cell
Space group ... Pnma, No. 62

a = 8.809 Å, b = 9.297 Å, c = 4.557 Å
α = 90.00°, β = 90.00°, γ = 90.00°
Each line ends with the local moment (μB).
Positions (direct):
Co 0.500 0.250 0.293  1.21
Co 0.000 0.750 0.793  1.21
Co 0.500 0.750 0.707  1.21
Co 0.000 0.250 0.207  1.21
Ba 0.750 0.250 0.751  -0.09
Ba 0.750 0.750 0.251  -0.09
Ba 0.250 0.750 0.249  -0.09
Ba 0.250 0.250 0.749  -0.08
Br 0.000 0.000 0.000  0.01
Br 0.500 0.500 0.500  0.01
Br 0.500 0.000 0.500  0.01
Br 0.000 0.500 0.000  0.01



5.
## BaCoBr (PBE)

Data for crystalline BaCoBr at its relaxed geometry.

Calculated volume ... 36.5 Å³ per atom
Electronic total energy ... -3.466 eV/atom
Uncorrected formation energy ... 101 meV/atom
Spin magnetization ... 2.00 Bohr magnetons per cell
Space group ... F-43m, No. 216

a = 5.368 Å, b = 5.368 Å, c = 5.368 Å
α = 60.00°, β = 60.00°, γ = 60.00°
Each line ends with the local moment (μB).
Positions (direct):
Co 0.250 0.250 0.250  2.18
Ba 0.750 0.750 0.750  -0.05
Br 0.000 0.000 0.000  0.03



6.
## Ba2CoBr (PBE)

Data for crystalline Ba2CoBr at its relaxed geometry.

Calculated volume ... 32.0 Å³ per atom
Electronic total energy ... -3.606 eV/atom
Uncorrected formation energy ... -450 meV/atom
Spin magnetization ... 0.15 Bohr magnetons per cell
Space group ... P2/m, No. 10

a = 3.891 Å, b = 3.890 Å, c = 9.326 Å
α = 65.15°, β = 90.00°, γ = 90.00°
Each line ends with the local moment (μB).
Positions (direct):
Ba 0.000 0.031 0.968  -0.17
Ba 0.000 0.469 0.532  -0.17
Br 0.500 0.250 0.250  -0.01
Co 0.500 0.750 0.750  1.21



7.
## BaCoBr (PBE)

Data for crystalline BaCoBr at its relaxed geometry.

Calculated volume ... 32.6 Å³ per atom
Electronic total energy ... -4.151 eV/atom
Uncorrected formation energy ... -584 meV/atom
Spin magnetization ... 2.53 Bohr magnetons per cell
Space group ... Cm, No. 8

a = 4.245 Å, b = 6.211 Å, c = 9.531 Å
α = 65.89°, β = 77.09°, γ = 109.98°
Each line ends with the local moment (μB).
Positions (direct):
Co 0.858 0.076 0.976  1.47
Co 0.443 0.222 0.954  1.47
Ba 0.512 0.770 0.364  -0.05
Ba 0.165 0.666 0.953  -0.08
Br 0.791 0.336 0.373  0.00
Br 0.813 0.675 0.667  0.02



8.
## BaCo2Br (PBE)

Data for crystalline BaCo2Br at its relaxed geometry.

Calculated volume ... 24.2 Å³ per atom
Electronic total energy ... -4.349 eV/atom
Uncorrected formation energy ... 103 meV/atom
Spin magnetization ... 3.23 Bohr magnetons per cell
Space group ... P4mm, No. 99

a = 3.505 Å, b = 3.505 Å, c = 7.882 Å
α = 90.00°, β = 90.00°, γ = 90.00°
Each line ends with the local moment (μB).
Positions (direct):
Ba 0.000 0.000 0.486  -0.12
Br 0.500 0.500 0.745  -0.01
Co 0.000 0.000 0.114  1.84
Co 0.500 0.500 0.155  1.84